1.
{
  "formula": "CaZn2GePd",
  "functional": "PBE-GGA",
  "state": "relaxed",
  "lattice_angstrom": [[-2.731, 3.133, 1.050], [-0.929, -2.013, 3.592], [5.738, 2.023, 0.138]],
  "species": ["Zn", "Zn", "Pd", "Ge", "Ca"],
  "fractional_positions": [[0.690, 0.190, 0.379], [0.059, 0.059, 0.118], [0.199, 0.699, 0.399], [0.824, 0.824, 0.649], [0.439, 0.439, 0.879]],
  "e_form_ev_per_atom": -0.466,
  "space_group": "Imm2, No. 44",
  "rho_g_cm3": 6.1,
  "m_tot_mub_per_atom": 0.000,
  "energy_ev_per_atom": -3.34,
  "volume_a3_per_cell": 95.75
}

2.
{
  "formula": "Ca2Pm5Ge4",
  "functional": "PBE-GGA",
  "state": "relaxed",
  "lattice_angstrom": [[-0.621, -1.983, -3.637], [6.872, -3.364, 0.660], [-8.520, -4.597, 6.373]],
  "species": ["Ge", "Ge", "Ge", "Ge", "Pm", "Pm", "Pm", "Pm", "Pm", "Ca", "Ca"],
  "fractional_positions": [[0.969, 0.228, 0.939], [0.031, 0.772, 0.061], [0.710, 0.687, 0.420], [0.290, 0.313, 0.580], [0.166, 0.368, 0.333], [0.834, 0.632, 0.667], [0.174, 0.908, 0.349], [0.826, 0.092, 0.651], [0.500, 0.000, 0.000], [0.568, 0.521, 0.136], [0.432, 0.479, 0.864]],
  "e_form_ev_per_atom": -0.448,
  "space_group": "C2/m, No. 12",
  "rho_g_cm3": 5.5,
  "m_tot_mub_per_atom": 0.000,
  "energy_ev_per_atom": -4.65,
  "volume_a3_per_cell": 328.59
}

3.
{
  "formula": "CaPmGe3",
  "functional": "PBE-GGA",
  "state": "relaxed",
  "lattice_angstrom": [[-4.048, -0.394, 0.132], [0.396, -4.321, -0.739], [0.456, -0.073, 13.787]],
  "species": ["Pm", "Pm", "Ge", "Ge", "Ge", "Ge", "Ge", "Ge", "Ca", "Ca"],
  "fractional_positions": [[0.750, 0.202, 0.405], [0.250, 0.798, 0.595], [0.250, 0.473, 0.945], [0.750, 0.315, 0.629], [0.250, 0.685, 0.371], [0.750, 0.527, 0.055], [0.250, 0.377, 0.753], [0.750, 0.623, 0.247], [0.750, 0.925, 0.849], [0.250, 0.075, 0.151]],
  "e_form_ev_per_atom": -0.584,
  "space_group": "Cmcm, No. 63",
  "rho_g_cm3": 5.5,
  "de_polymorph_ev_per_atom": 0.010,
  "m_tot_mub_per_atom": 0.000,
  "energy_ev_per_atom": -4.70,
  "volume_a3_per_cell": 243.92
}

4.
{
  "formula": "CaPm5Ge3",
  "functional": "PBE-GGA",
  "state": "relaxed",
  "lattice_angstrom": [[-0.298, 6.010, -2.575], [-7.717, 1.612, 4.655], [8.109, 2.007, 3.744]],
  "species": ["Ge", "Ge", "Ge", "Ge", "Ge", "Ge", "Pm", "Pm", "Pm", "Pm", "Pm", "Pm", "Pm", "Pm", "Pm", "Pm", "Ca", "Ca"],
  "fractional_positions": [[0.250, 0.000, 0.337], [0.250, 0.663, 0.663], [0.750, 0.000, 0.663], [0.750, 0.663, 0.000], [0.250, 0.337, 0.000], [0.750, 0.337, 0.337], [0.750, 0.331, 0.000], [0.000, 0.333, 0.667], [0.250, 0.331, 0.331], [0.750, 0.669, 0.669], [0.500, 0.667, 0.333], [0.750, 0.000, 0.331], [0.500, 0.333, 0.667], [0.250, 0.669, 0.000], [0.250, 0.000, 0.669], [0.000, 0.667, 0.333], [0.000, 0.000, 0.000], [0.500, 0.000, 0.000]],
  "e_form_ev_per_atom": -0.535,
  "space_group": "P6_3/mcm, No. 193",
  "rho_g_cm3": 6.9,
  "m_tot_mub_per_atom": 0.163,
  "energy_ev_per_atom": -4.94,
  "volume_a3_per_cell": 475.02
}

5.
{
  "formula": "CaPm8Ge6",
  "functional": "PBE-GGA",
  "state": "relaxed",
  "lattice_angstrom": [[-0.349, 8.800, 1.392], [-7.063, 3.590, 4.090], [0.321, 3.373, 7.312]],
  "species": ["Pm", "Pm", "Pm", "Pm", "Pm", "Pm", "Pm", "Pm", "Ca", "Ge", "Ge", "Ge", "Ge", "Ge", "Ge"],
  "fractional_positions": [[0.102, 0.428, 0.699], [0.771, 0.102, 0.699], [0.333, 0.333, 0.001], [0.898, 0.572, 0.301], [0.229, 0.898, 0.301], [0.667, 0.667, 0.999], [0.572, 0.229, 0.301], [0.428, 0.771, 0.699], [0.000, 0.000, 0.000], [0.069, 0.735, 0.789], [0.407, 0.069, 0.789], [0.265, 0.593, 0.211], [0.593, 0.931, 0.211], [0.735, 0.407, 0.789], [0.931, 0.265, 0.211]],
  "e_form_ev_per_atom": -0.657,
  "space_group": "R-3, No. 148",
  "rho_g_cm3": 6.4,
  "m_tot_mub_per_atom": 0.000,
  "energy_ev_per_atom": -5.17,
  "volume_a3_per_cell": 426.88
}

6.
{
  "formula": "CaPm3Ge3",
  "functional": "PBE-GGA",
  "state": "relaxed",
  "lattice_angstrom": [[-4.171, -1.031, -7.892], [-1.695, -8.246, -3.142], [-7.253, -3.069, -0.882]],
  "species": ["Ge", "Ge", "Ge", "Ge", "Ge", "Ge", "Ca", "Ca", "Pm", "Pm", "Pm", "Pm", "Pm", "Pm"],
  "fractional_positions": [[0.930, 0.279, 0.229], [0.070, 0.721, 0.771], [0.438, 0.070, 0.771], [0.279, 0.562, 0.229], [0.562, 0.930, 0.229], [0.721, 0.438, 0.771], [0.329, 0.329, 0.013], [0.671, 0.671, 0.987], [0.902, 0.618, 0.270], [0.210, 0.902, 0.270], [0.382, 0.790, 0.730], [0.098, 0.382, 0.730], [0.618, 0.210, 0.270], [0.790, 0.098, 0.730]],
  "e_form_ev_per_atom": -0.641,
  "space_group": "R-3, No. 148",
  "rho_g_cm3": 5.5,
  "m_tot_mub_per_atom": 0.000,
  "energy_ev_per_atom": -4.94,
  "volume_a3_per_cell": 418.90
}

7.
{
  "formula": "CaPm5Ge2",
  "functional": "PBE-GGA",
  "state": "relaxed",
  "lattice_angstrom": [[-4.521, 0.836, 0.192], [-2.738, -3.572, 6.235], [-1.069, 5.732, 5.014]],
  "species": ["Pm", "Pm", "Pm", "Pm", "Pm", "Ge", "Ge", "Ca"],
  "fractional_positions": [[0.661, 0.151, 0.526], [0.000, 0.500, 0.500], [0.661, 0.526, 0.151], [0.339, 0.849, 0.474], [0.339, 0.474, 0.849], [0.719, 0.781, 0.781], [0.281, 0.219, 0.219], [0.000, 0.000, 0.000]],
  "e_form_ev_per_atom": -0.299,
  "space_group": "Immm, No. 71",
  "rho_g_cm3": 6.2,
  "m_tot_mub_per_atom": 0.000,
  "energy_ev_per_atom": -4.67,
  "volume_a3_per_cell": 244.71
}

8.
{
  "formula": "Ca2Pm2Ge",
  "functional": "PBE-GGA",
  "state": "relaxed",
  "lattice_angstrom": [[4.268, 0.000, 0.000], [0.000, 4.268, 0.000], [-2.134, -2.134, 9.087]],
  "species": ["Ca", "Ca", "Pm", "Pm", "Ge"],
  "fractional_positions": [[0.750, 0.250, 0.500], [0.250, 0.750, 0.500], [0.580, 0.580, 0.160], [0.420, 0.420, 0.840], [0.000, 0.000, 0.000]],
  "e_form_ev_per_atom": 0.222,
  "space_group": "I4/mmm, No. 139",
  "rho_g_cm3": 4.4,
  "m_tot_mub_per_atom": 0.000,
  "energy_ev_per_atom": -3.40,
  "volume_a3_per_cell": 165.51
}

Number 1 is which compound? CaZn2GePd